# Sm5HoEr12, relaxed, DFT PBE
data_Sm5HoEr12
_cell_length_a 11.698
_cell_length_b 17.036
_cell_length_c 5.679
_cell_angle_alpha 90.00
_cell_angle_beta 90.01
_cell_angle_gamma 90.00
_space_group_name_H-M_alt 'C 1 2/m 1'
_space_group_IT_number 12
_space_group_name_Hall '-C 2y'
loop_
_atom_site_label
_atom_site_type_symbol
_atom_site_fract_x
_atom_site_fract_y
_atom_site_fract_z
_atom_site_occupancy
Sm1 Sm 0.000 0.000 0.000 1
Sm2 Sm 0.000 0.139 0.500 1
Sm3 Sm 0.000 0.362 0.000 1
Ho1 Ho 0.000 0.500 0.500 1
Er1 Er 0.154 0.179 0.000 1
Er2 Er 0.155 0.322 0.500 1
Er3 Er 0.198 0.500 0.998 1
Er4 Er 0.200 0.000 0.502 1
# - ΔE_f (eV/atom) = 0.094
# - magnetization (μB per formula unit) = 0.0
# - density of states at the Fermi level (states/eV/atom) = 1.598